[1]
{
  "formula": "La8CoOs3Cl4",
  "functional": "PBE",
  "state": "optimized geometry",
  "lattice": [[-7.458, 2.875, 2.157], [-3.513, -8.180, -1.245], [6.367, 0.658, 5.250]],
  "species": ["La", "La", "La", "La", "La", "La", "La", "La", "Co", "Os", "Os", "Os", "Cl", "Cl", "Cl", "Cl"],
  "frac_coords": [[0.234, 0.703, 0.969], [0.234, 0.703, 0.468], [0.265, 0.294, 0.530], [0.735, 0.703, 0.969], [0.265, 0.297, 0.031], [0.735, 0.706, 0.470], [0.766, 0.297, 0.532], [0.766, 0.297, 0.031], [0.000, 0.500, 0.000], [0.500, 0.500, 0.000], [0.500, 0.500, 0.500], [0.000, 0.500, 0.500], [0.500, 0.000, 0.000], [0.500, 0.000, 0.500], [0.000, 0.000, 0.000], [0.000, 0.000, 0.500]],
  "formation_energy_uncorrected_kj_per_mol_atoms": -89.1,
  "spacegroup": "R-3m, No. 166"
}

---

[2]
{
  "formula": "La6CoOs2Cl3",
  "functional": "PBE",
  "state": "optimized geometry",
  "lattice": [[-4.079, 5.189, -2.712], [-1.977, -6.822, -0.689], [-1.797, 0.987, 7.727]],
  "species": ["La", "La", "La", "La", "La", "La", "Co", "Os", "Os", "Cl", "Cl", "Cl"],
  "frac_coords": [[0.932, 0.601, 0.797], [0.737, 0.737, 0.204], [0.068, 0.399, 0.203], [0.601, 0.932, 0.797], [0.263, 0.263, 0.796], [0.399, 0.068, 0.203], [0.000, 0.000, 0.000], [0.333, 0.667, 0.000], [0.667, 0.333, 0.000], [0.168, 0.832, 0.500], [0.832, 0.168, 0.500], [0.500, 0.500, 0.500]],
  "formation_energy_uncorrected_kj_per_mol_atoms": -89.6,
  "spacegroup": "C2/m, No. 12"
}

---

[3]
{
  "formula": "La8CoP3Cl4",
  "functional": "PBE",
  "state": "optimized geometry",
  "lattice": [[-0.131, -7.366, -4.126], [6.356, -2.860, 4.904], [-7.051, 2.954, 3.590]],
  "species": ["La", "La", "La", "La", "La", "La", "La", "La", "Co", "P", "P", "P", "Cl", "Cl", "Cl", "Cl"],
  "frac_coords": [[0.234, 0.720, 0.985], [0.235, 0.720, 0.470], [0.258, 0.275, 0.516], [0.751, 0.720, 0.985], [0.249, 0.280, 0.015], [0.742, 0.725, 0.484], [0.765, 0.280, 0.530], [0.766, 0.280, 0.015], [0.000, 0.500, 0.000], [0.500, 0.500, 0.000], [0.500, 0.500, 0.500], [0.000, 0.500, 0.500], [0.500, 0.000, 0.000], [0.500, 0.000, 0.500], [0.000, 0.000, 0.000], [0.000, 0.000, 0.500]],
  "formation_energy_uncorrected_kj_per_mol_atoms": -143.9,
  "spacegroup": "R-3m, No. 166"
}

---

[4]
{
  "formula": "LaCoP2Cl",
  "functional": "PBE",
  "state": "optimized geometry",
  "lattice": [[-3.586, -4.193, 0.987], [3.076, -3.391, -3.233], [2.903, -1.469, 4.303]],
  "species": ["P", "P", "Cl", "Co", "La"],
  "frac_coords": [[0.000, 0.500, 0.000], [0.500, 0.000, 0.000], [0.000, 0.000, 0.500], [0.500, 0.500, 0.500], [0.000, 0.000, 0.000]],
  "formation_energy_uncorrected_kj_per_mol_atoms": 69.0,
  "spacegroup": "P4/mmm, No. 123",
  "polymorph_energy_mev_per_atom": 1361
}

---

[5]
{
  "formula": "LaCoP2Cl",
  "functional": "PBE",
  "state": "optimized geometry",
  "lattice": [[-3.210, 0.759, -2.885], [-2.901, -1.780, 2.760], [-0.790, 4.480, 2.058]],
  "species": ["P", "P", "Cl", "Co", "La"],
  "frac_coords": [[0.000, 0.500, 0.000], [0.500, 0.000, 0.000], [0.000, 0.000, 0.500], [0.000, 0.000, 0.000], [0.500, 0.500, 0.500]],
  "formation_energy_uncorrected_kj_per_mol_atoms": -62.3,
  "spacegroup": "P4/mmm, No. 123",
  "polymorph_energy_mev_per_atom": 0
}

---

[6]
{
  "formula": "La4CoPCl2",
  "functional": "PBE",
  "state": "optimized geometry",
  "lattice": [[4.010, 0.000, 0.000], [0.000, 7.536, 0.183], [0.000, -2.583, 7.134]],
  "species": ["La", "La", "La", "La", "Co", "P", "Cl", "Cl"],
  "frac_coords": [[0.500, 0.214, 0.201], [0.500, 0.786, 0.799], [0.000, 0.260, 0.773], [0.000, 0.740, 0.227], [0.000, 0.000, 0.000], [0.500, 0.500, 0.000], [0.500, 0.000, 0.500], [0.000, 0.500, 0.500]],
  "formation_energy_uncorrected_kj_per_mol_atoms": -123.0,
  "spacegroup": "P2/m, No. 10"
}

---

[7]
{
  "formula": "LaPmCoCl",
  "functional": "PBE",
  "state": "optimized geometry",
  "lattice": [[-2.777, 2.644, 0.926], [-0.945, -3.196, -2.110], [0.663, -4.556, 6.605]],
  "species": ["La", "Pm", "Co", "Cl"],
  "frac_coords": [[0.509, 0.152, 0.676], [0.105, 0.951, 0.071], [0.304, 0.550, 0.868], [0.960, 0.378, 0.354]],
  "formation_energy_uncorrected_kj_per_mol_atoms": -83.6,
  "spacegroup": "R3m, No. 160"
}

---

[8]
{
  "formula": "La2Pm2Co2Cl",
  "functional": "PBE",
  "state": "optimized geometry",
  "lattice": [[-2.410, 0.081, 2.914], [0.819, -7.089, 3.329], [4.086, 0.815, 5.813]],
  "species": ["La", "La", "Pm", "Pm", "Co", "Co", "Cl"],
  "frac_coords": [[0.537, 0.254, 0.671], [0.463, 0.746, 0.329], [0.238, 0.676, 0.849], [0.762, 0.324, 0.151], [0.086, 0.507, 0.320], [0.914, 0.493, 0.680], [0.000, 0.000, 0.000]],
  "formation_energy_uncorrected_kj_per_mol_atoms": -49.8,
  "spacegroup": "C2/m, No. 12"
}

---

[9]
{
  "formula": "LaPrCoCl",
  "functional": "PBE",
  "state": "optimized geometry",
  "lattice": [[3.978, -0.001, 0.000], [-1.989, 3.446, 0.000], [-1.988, -1.148, 7.778]],
  "species": ["La", "Pr", "Co", "Cl"],
  "frac_coords": [[0.508, 0.152, 0.675], [0.105, 0.951, 0.071], [0.302, 0.549, 0.866], [0.963, 0.380, 0.358]],
  "formation_energy_uncorrected_kj_per_mol_atoms": -82.6,
  "spacegroup": "R3m, No. 160"
}

---

[10]
{
  "formula": "La4CoPtCl2",
  "functional": "PBE",
  "state": "optimized geometry",
  "lattice": [[-3.191, 0.542, 2.564], [3.534, -3.691, 5.178], [1.906, 7.719, 0.740]],
  "species": ["La", "La", "La", "La", "Co", "Pt", "Cl", "Cl"],
  "frac_coords": [[0.500, 0.249, 0.205], [0.500, 0.751, 0.795], [0.000, 0.278, 0.798], [0.000, 0.722, 0.202], [0.500, 0.500, 0.000], [0.000, 0.000, 0.000], [0.500, 0.000, 0.500], [0.000, 0.500, 0.500]],
  "formation_energy_uncorrected_kj_per_mol_atoms": -114.7,
  "spacegroup": "P2/m, No. 10"
}

---

[11]
{
  "formula": "La6CoPt2Cl3",
  "functional": "PBE",
  "state": "optimized geometry",
  "lattice": [[7.325, -0.075, 0.028], [-3.725, 6.307, 0.028], [-1.171, -2.028, 7.561]],
  "species": ["La", "La", "La", "La", "La", "La", "Co", "Pt", "Pt", "Cl", "Cl", "Cl"],
  "frac_coords": [[0.931, 0.613, 0.795], [0.754, 0.754, 0.202], [0.069, 0.387, 0.205], [0.613, 0.931, 0.795], [0.246, 0.246, 0.798], [0.387, 0.069, 0.205], [0.000, 0.000, 0.000], [0.333, 0.667, 0.000], [0.667, 0.333, 0.000], [0.159, 0.841, 0.500], [0.841, 0.159, 0.500], [0.500, 0.500, 0.500]],
  "formation_energy_uncorrected_kj_per_mol_atoms": -123.5,
  "spacegroup": "C2/m, No. 12"
}

---

[12]
{
  "formula": "La8Co3PtCl4",
  "functional": "PBE",
  "state": "optimized geometry",
  "lattice": [[8.142, 0.000, 0.000], [0.000, 8.922, 0.500], [-4.071, -4.088, 5.878]],
  "species": ["La", "La", "La", "La", "La", "La", "La", "La", "Co", "Co", "Co", "Pt", "Cl", "Cl", "Cl", "Cl"],
  "frac_coords": [[0.244, 0.702, 0.966], [0.241, 0.701, 0.481], [0.263, 0.298, 0.526], [0.722, 0.702, 0.966], [0.278, 0.298, 0.034], [0.737, 0.702, 0.474], [0.759, 0.299, 0.519], [0.756, 0.298, 0.034], [0.500, 0.500, 0.000], [0.500, 0.500, 0.500], [0.000, 0.500, 0.500], [0.000, 0.500, 0.000], [0.500, 0.000, 0.000], [0.500, 0.000, 0.500], [0.000, 0.000, 0.000], [0.000, 0.000, 0.500]],
  "formation_energy_uncorrected_kj_per_mol_atoms": -102.3,
  "spacegroup": "C2/m, No. 12"
}

---

[13]
{
  "formula": "La8CoPt3Cl4",
  "functional": "PBE",
  "state": "optimized geometry",
  "lattice": [[8.431, 0.000, 0.000], [0.000, 9.001, 0.384], [-4.216, -4.210, 5.971]],
  "species": ["La", "La", "La", "La", "La", "La", "La", "La", "Co", "Pt", "Pt", "Pt", "Cl", "Cl", "Cl", "Cl"],
  "frac_coords": [[0.229, 0.705, 0.977], [0.229, 0.705, 0.457], [0.263, 0.291, 0.527], [0.748, 0.705, 0.977], [0.252, 0.295, 0.023], [0.737, 0.709, 0.473], [0.771, 0.295, 0.543], [0.771, 0.295, 0.023], [0.000, 0.500, 0.000], [0.500, 0.500, 0.000], [0.500, 0.500, 0.500], [0.000, 0.500, 0.500], [0.500, 0.000, 0.000], [0.500, 0.000, 0.500], [0.000, 0.000, 0.000], [0.000, 0.000, 0.500]],
  "formation_energy_uncorrected_kj_per_mol_atoms": -127.1,
  "spacegroup": "R-3m, No. 166"
}

---

[14]
{
  "formula": "La6Co2PtCl3",
  "functional": "PBE",
  "state": "optimized geometry",
  "lattice": [[7.142, -0.015, 0.008], [-3.582, 6.178, 0.008], [-1.179, -2.041, 7.607]],
  "species": ["La", "La", "La", "La", "La", "La", "Co", "Co", "Pt", "Cl", "Cl", "Cl"],
  "frac_coords": [[0.932, 0.583, 0.798], [0.718, 0.718, 0.202], [0.068, 0.417, 0.202], [0.583, 0.932, 0.798], [0.282, 0.282, 0.798], [0.417, 0.068, 0.202], [0.333, 0.667, 0.000], [0.667, 0.333, 0.000], [0.000, 0.000, 0.000], [0.170, 0.830, 0.500], [0.830, 0.170, 0.500], [0.500, 0.500, 0.500]],
  "formation_energy_uncorrected_kj_per_mol_atoms": -107.2,
  "spacegroup": "C2/m, No. 12"
}

---

[15]
{
  "formula": "RbLaCo2Cl8",
  "functional": "PBE",
  "state": "optimized geometry",
  "lattice": [[6.581, 0.000, 0.000], [3.290, 5.699, 0.000], [3.290, 1.900, 9.831]],
  "species": ["Rb", "La", "Co", "Co", "Cl", "Cl", "Cl", "Cl", "Cl", "Cl", "Cl", "Cl"],
  "frac_coords": [[0.500, 0.500, 0.500], [0.000, 0.000, 0.000], [0.251, 0.251, 0.248], [0.749, 0.749, 0.752], [0.176, 0.176, 0.471], [0.598, 0.287, 0.170], [0.824, 0.824, 0.529], [0.945, 0.598, 0.170], [0.055, 0.402, 0.830], [0.287, 0.945, 0.170], [0.713, 0.055, 0.830], [0.402, 0.713, 0.830]],
  "formation_energy_uncorrected_kj_per_mol_atoms": -133.2,
  "spacegroup": "R-3, No. 148"
}

---

[16]
{
  "formula": "LaCoReCl2",
  "functional": "PBE",
  "state": "optimized geometry",
  "lattice": [[-3.855, -0.694, 2.409], [0.825, -4.681, -0.030], [2.377, 0.394, 3.917]],
  "species": ["Re", "Cl", "Cl", "Co", "La"],
  "frac_coords": [[0.000, 0.500, 0.000], [0.000, 0.000, 0.500], [0.500, 0.000, 0.000], [0.000, 0.000, 0.000], [0.500, 0.500, 0.500]],
  "formation_energy_uncorrected_kj_per_mol_atoms": 13.9,
  "spacegroup": "P4/mmm, No. 123"
}

---

[17]
{
  "formula": "La4CoRhCl2",
  "functional": "PBE",
  "state": "optimized geometry",
  "lattice": [[-2.025, 3.176, 1.566], [-5.087, -0.822, -4.913], [-2.086, -4.451, 6.331]],
  "species": ["La", "La", "La", "La", "Co", "Rh", "Cl", "Cl"],
  "frac_coords": [[0.500, 0.241, 0.205], [0.500, 0.759, 0.795], [0.000, 0.275, 0.799], [0.000, 0.725, 0.201], [0.500, 0.500, 0.000], [0.000, 0.000, 0.000], [0.500, 0.000, 0.500], [0.000, 0.500, 0.500]],
  "formation_energy_uncorrected_kj_per_mol_atoms": -107.2,
  "spacegroup": "P2/m, No. 10"
}

---

[18]
{
  "formula": "La6CoRh2Cl3",
  "functional": "PBE",
  "state": "optimized geometry",
  "lattice": [[7.133, -0.003, 0.002], [-3.567, 6.177, 0.002], [-1.187, -2.055, 7.659]],
  "species": ["La", "La", "La", "La", "La", "La", "Co", "Rh", "Rh", "Cl", "Cl", "Cl"],
  "frac_coords": [[0.932, 0.608, 0.797], [0.743, 0.743, 0.203], [0.068, 0.392, 0.203], [0.608, 0.932, 0.797], [0.257, 0.257, 0.797], [0.392, 0.068, 0.203], [0.000, 0.000, 0.000], [0.333, 0.667, 0.000], [0.667, 0.333, 0.000], [0.164, 0.836, 0.500], [0.836, 0.164, 0.500], [0.500, 0.500, 0.500]],
  "formation_energy_uncorrected_kj_per_mol_atoms": -113.0,
  "spacegroup": "C2/m, No. 12"
}

---

[19]
{
  "formula": "La6CoRu2Cl3",
  "functional": "PBE",
  "state": "optimized geometry",
  "lattice": [[-2.832, 6.102, -2.235], [-3.398, -6.115, -1.145], [-1.560, 0.771, 7.837]],
  "species": ["La", "La", "La", "La", "La", "La", "Co", "Ru", "Ru", "Cl", "Cl", "Cl"],
  "frac_coords": [[0.932, 0.602, 0.797], [0.738, 0.738, 0.203], [0.068, 0.398, 0.203], [0.602, 0.932, 0.797], [0.262, 0.262, 0.797], [0.398, 0.068, 0.203], [0.000, 0.000, 0.000], [0.333, 0.667, 0.000], [0.667, 0.333, 0.000], [0.169, 0.831, 0.500], [0.831, 0.169, 0.500], [0.500, 0.500, 0.500]],
  "formation_energy_uncorrected_kj_per_mol_atoms": -95.8,
  "spacegroup": "C2/m, No. 12"
}

---

[20]
{
  "formula": "La6Co2SCl3",
  "functional": "PBE",
  "state": "optimized geometry",
  "lattice": [[3.994, 0.000, 0.000], [0.000, 8.901, 0.100], [-1.997, -2.787, 9.005]],
  "species": ["La", "La", "La", "La", "La", "La", "Co", "Co", "S", "Cl", "Cl", "Cl"],
  "frac_coords": [[0.334, 0.886, 0.669], [0.677, 0.544, 0.353], [0.666, 0.114, 0.331], [0.012, 0.237, 0.023], [0.988, 0.763, 0.977], [0.323, 0.456, 0.647], [0.834, 0.675, 0.667], [0.166, 0.325, 0.333], [0.500, 0.000, 0.000], [0.500, 0.500, 0.000], [0.840, 0.170, 0.680], [0.160, 0.830, 0.320]],
  "formation_energy_uncorrected_kj_per_mol_atoms": -118.8,
  "spacegroup": "C2/m, No. 12"
}